# Pm5Ho4Al, relaxed, DFT PBE-GGA
# ΔH_f (0 K): -0.049 eV/atom
# DOS at the Fermi energy: 1.338 states/eV/atom
# volume: 31.317 Å³/atom
# energy: -4.63 eV per atom
data_Pm5Ho4Al
_chemical_formula_sum 'Pm5 Ho4 Al1'
_cell_length_a 3.5946
_cell_length_b 3.5946
_cell_length_c 24.2366
_cell_angle_alpha 90.00
_cell_angle_beta 90.00
_cell_angle_gamma 90.00
_symmetry_space_group_name_H-M 'P 4/m m m'
_symmetry_Int_Tables_number 123
_symmetry_space_group_name_Hall '-P 4 2'
loop_
_atom_site_label
_atom_site_type_symbol
_atom_site_fract_x
_atom_site_fract_y
_atom_site_fract_z
Pm1 Pm 0.0000 0.0000 0.0000
Pm2 Pm 0.0000 0.0000 0.2089
Pm3 Pm 0.0000 0.0000 0.4199
Ho1 Ho 0.5000 0.5000 0.1040
Ho2 Ho 0.5000 0.5000 0.3122
Al1 Al 0.5000 0.5000 0.5000

# Pm2Ho2Al15, relaxed, DFT PBE-GGA
# ΔH_f (0 K): -0.256 eV/atom
# DOS at the Fermi energy: 0.502 states/eV/atom
# volume: 19.783 Å³/atom
# energy: -4.19 eV per atom
data_Pm2Ho2Al15
_chemical_formula_sum 'Pm6 Ho6 Al45'
_cell_length_a 9.6484
_cell_length_b 9.6484
_cell_length_c 13.9870
_cell_angle_alpha 90.00
_cell_angle_beta 90.00
_cell_angle_gamma 120.00
_symmetry_space_group_name_H-M 'R -3 m'
_symmetry_Int_Tables_number 166
_symmetry_space_group_name_Hall '-R 3 2"'
loop_
_atom_site_label
_atom_site_type_symbol
_atom_site_fract_x
_atom_site_fract_y
_atom_site_fract_z
Pm1 Pm 0.0000 0.0000 0.1390
Ho1 Ho 0.0000 0.0000 0.3917
Al1 Al 0.0000 0.2903 0.5000
Al2 Al 0.0000 0.5000 0.0000
Al3 Al 0.0061 0.5030 0.6472

# PmHoAl6, relaxed, DFT PBE-GGA
# ΔH_f (0 K): -0.433 eV/atom
# DOS at the Fermi energy: 0.412 states/eV/atom
# volume: 20.163 Å³/atom
# energy: -4.41 eV per atom
data_PmHoAl6
_chemical_formula_sum 'Pm1 Ho1 Al6'
_cell_length_a 6.3206
_cell_length_b 6.3206
_cell_length_c 4.6605
_cell_angle_alpha 90.00
_cell_angle_beta 90.00
_cell_angle_gamma 120.00
_symmetry_space_group_name_H-M 'P -6 m 2'
_symmetry_Int_Tables_number 187
_symmetry_space_group_name_Hall 'P -6 2'
loop_
_atom_site_label
_atom_site_type_symbol
_atom_site_fract_x
_atom_site_fract_y
_atom_site_fract_z
Pm1 Pm 0.0000 0.0000 0.0000
Ho1 Ho 0.6667 0.3333 0.5000
Al1 Al 0.0414 0.5207 0.0000
Al2 Al 0.1896 0.3792 0.5000

# Pm4HoAl2, relaxed, DFT PBE-GGA
# ΔH_f (0 K): -0.012 eV/atom
# DOS at the Fermi energy: 1.181 states/eV/atom
# volume: 29.704 Å³/atom
# energy: -4.45 eV per atom
data_Pm4HoAl2
_chemical_formula_sum 'Pm16 Ho4 Al8'
_cell_length_a 9.3165
_cell_length_b 9.3165
_cell_length_c 9.5823
_cell_angle_alpha 90.00
_cell_angle_beta 90.00
_cell_angle_gamma 90.00
_symmetry_space_group_name_H-M 'I -4 2 d'
_symmetry_Int_Tables_number 122
_symmetry_space_group_name_Hall 'I -4 2bw'
loop_
_atom_site_label
_atom_site_type_symbol
_atom_site_fract_x
_atom_site_fract_y
_atom_site_fract_z
Pm1 Pm 0.0820 0.1630 0.3187
Ho1 Ho 0.0000 0.0000 0.0000
Al1 Al 0.1530 0.2500 0.6250